The following is a PBE-GGA calculation of a geometry-optimized KNa2SCl structure, from Alexandria via LeMat-Bulk.

Its total energy is -3.2758 eV per atom.

It has space group P2_1/m (No. 11), with a = 7.6733 Å, b = 4.2599 Å, c = 8.1841 Å, α = 90.00°, β = 93.96° and γ = 90.00°. The distinct sites, in fractional coordinates, are K at (0.0037, 0.2500, 0.2385), Na at (0.3576, 0.2500, 0.9292), Na at (0.4425, 0.2500, 0.3183), S at (0.2817, 0.7500, 0.1172) and Cl at (0.2670, 0.2500, 0.6008).

***

The following is a PBE-GGA calculation of a geometry-optimized BaPtW2 structure, from Alexandria via LeMat-Bulk.

Its total energy is -7.8786 eV per atom. The formation enthalpy at 0 K comes out at 589 meV/atom. For the distance to the lowest polymorph of the same formula, the calculation gives 163 meV per atom.

It has space group Cmm2 (No. 35), with a = 3.7856 Å, b = 4.6643 Å, c = 9.3716 Å, α = 90.00°, β = 90.00° and γ = 90.00°. The distinct sites, in fractional coordinates, are Ba at (0.0000, 0.0000, 0.0000), Pt at (0.0000, 0.5000, 0.7109), W at (0.0000, 0.0000, 0.5152) and W at (0.0000, 0.5000, 0.3150).

***

The following is a PBE-GGA calculation of a geometry-optimized Sr2MgB structure, from Alexandria via LeMat-Bulk.

Its total energy is -2.5583 eV per atom. The formation enthalpy at 0 K comes out at 351 meV/atom. For the distance to the lowest polymorph of the same formula, the calculation gives 0 meV per atom.

It has space group I-42d (No. 122), with a = 11.0591 Å, b = 11.0591 Å, c = 4.5362 Å, α = 90.00°, β = 90.00° and γ = 90.00°. The distinct sites, in fractional coordinates, are Sr at (0.0744, 0.7500, 0.1250), Mg at (0.0000, 0.0000, 0.5000) and B at (0.0000, 0.0000, 0.0000).

***

The following is a PBE-GGA calculation of a geometry-optimized TeOs5 structure, from Alexandria via LeMat-Bulk.

Its total energy is -9.3066 eV per atom. For the distance to the lowest polymorph of the same formula, the calculation gives 63 meV per atom.

It has space group P4/mmm (No. 123), with a = 2.8308 Å, b = 2.8308 Å, c = 11.9158 Å, α = 90.00°, β = 90.00° and γ = 90.00°. The distinct sites, in fractional coordinates, are Te at (0.0000, 0.0000, 0.0000), Os at (0.0000, 0.0000, 0.3384), Os at (0.5000, 0.5000, 0.1929) and Os at (0.5000, 0.5000, 0.5000).

***

no.,theoretical density (Mg/m³),total magnetic moment (μB per cell)
1,1.9,0.00
2,14.1,0.00
3,2.5,0.00
4,18.8,0.00